1.
CaMg2BiAs | meta-GGA SCAN | PBEsol geometry

## Properties
total magnetization	0.0	μB/f.u.
space-group type	P4/mmm (123)
E	-121.20	eV for the cell shown
calculated volume	136.24	Å³ per cell
formation enthalpy at 0 K	-0.563	eV per atom
N(E_F)	0.197	states/eV/cell
density	4.54	g/cm3

Unit cell a=4.9782 b=4.9782 c=5.4977 alpha=90.00 beta=90.00 gamma=90.00
Last column: nearest neighbours and their distance in Å.
Fractional coordinates of all 5 atoms:
1 Ca 0.0000 0.0000 0.0000  2 As 2.75
2 Mg 0.0000 0.5000 0.5000  2 As 2.49
3 Mg 0.5000 0.0000 0.5000  2 As 2.49
4 Bi 0.5000 0.5000 0.0000  4 Ca 3.52, 8 Mg 3.71
5 As 0.0000 0.0000 0.5000  4 Mg 2.49, 2 Ca 2.75

2.
Ca3Bi2As2O12 | meta-GGA SCAN | PBEsol geometry

## Properties
total magnetization	0.0	μB/f.u.
space-group type	P1 (1)
E	-337.41	eV for the cell shown
calculated volume	284.70	Å³ per cell
density	5.13	g/cm3

Unit cell a=5.4409 b=7.1712 c=7.4911 alpha=77.29 beta=86.94 gamma=88.70
Last column: nearest neighbours and their distance in Å.
Fractional coordinates of all 19 atoms:
1 Ca 0.0000 0.0000 0.0000  5 O 2.25-2.45
2 Ca 0.0070 0.3552 0.6052  6 O 2.25-2.49
3 Ca 0.4997 0.5572 0.8352  6 O 2.33-2.50
4 Bi 0.4930 0.6685 0.3331  5 O 2.08-2.33
5 Bi 0.9775 0.8623 0.4966  4 O 2.20-2.31
6 As 0.0277 0.4986 0.0947  4 O 1.70-1.76
7 As 0.5598 0.0858 0.7174  4 O 1.72
8 O 0.1049 0.3335 0.9681  1 As 1.70
9 O 0.1565 0.7024 0.9670  1 As 1.70
10 O 0.1755 0.4515 0.2995  1 As 1.73
11 O 0.2451 0.0875 0.7109  1 As 1.72
12 O 0.2472 0.8954 0.2595  2 Bi 2.08-2.22
13 O 0.2607 0.6178 0.5787  2 Bi 2.14-2.31, 2 Ca 2.33
14 O 0.6705 0.2404 0.8393  1 As 1.72
15 O 0.6755 0.8645 0.8159  1 As 1.72
16 O 0.7063 0.5092 0.1326  1 As 1.76
17 O 0.7117 0.1571 0.5068  1 As 1.72
18 O 0.7417 0.6033 0.5528  2 Bi 2.15-2.23, 2 Ca 2.25-2.39
19 O 0.7647 0.8734 0.2523  2 Bi 2.08-2.20, 1 Ca 2.25

3.
Ca2ScBiAs | meta-GGA SCAN | PBEsol geometry

## Properties
total magnetization	0.0	μB/f.u.
space-group type	P4/mmm (123)
E	-136.36	eV for the cell shown
calculated volume	148.64	Å³ per cell
formation enthalpy at 0 K	-0.805	eV per atom
N(E_F)	3.595	states/eV/cell
density	4.57	g/cm3

Unit cell a=5.4159 b=5.4159 c=5.0676 alpha=90.00 beta=90.00 gamma=90.00
Last column: nearest neighbours and their distance in Å.
Fractional coordinates of all 5 atoms:
1 Ca 0.0000 0.5000 0.0000  2 As 2.71
2 Ca 0.5000 0.0000 0.0000  2 As 2.71
3 Sc 0.0000 0.0000 0.5000  2 As 2.53
4 Bi 0.5000 0.5000 0.5000  8 Ca 3.71, 4 Sc 3.83
5 As 0.0000 0.0000 0.0000  2 Sc 2.53, 4 Ca 2.71

4.
Cd2BiAsO6 | meta-GGA SCAN | PBEsol geometry

## Properties
total magnetization	0.0	μB/f.u.
space-group type	Cmc2_1 (36)
E	-421.15	eV for the cell shown
calculated volume	280.45	Å³ per cell
N(E_F)	0.000	states/eV/cell
density	7.16	g/cm3

Unit cell a=7.1960 b=7.1960 c=5.6279 alpha=90.00 beta=90.00 gamma=105.78
Last column: nearest neighbours and their distance in Å.
Fractional coordinates of all 20 atoms:
1 Cd 0.0924 0.3141 0.0000  6 O 2.25-2.39
2 Cd 0.3141 0.0924 0.5000  6 O 2.25-2.39
3 Cd 0.6859 0.9076 0.0000  6 O 2.25-2.39
4 Cd 0.9076 0.6859 0.5000  6 O 2.25-2.39
5 Bi 0.4034 0.5966 0.5083  4 O 2.24-2.25
6 Bi 0.5966 0.4034 0.0083  4 O 2.24-2.25
7 As 0.1669 0.8331 0.9849  4 O 1.70-1.73
8 As 0.8331 0.1669 0.4849  4 O 1.70-1.73
9 O 0.0202 0.9798 0.9419  1 As 1.70
10 O 0.0659 0.6144 0.8469  1 As 1.73
11 O 0.2023 0.7977 0.2837  1 As 1.73
12 O 0.3419 0.3472 0.2524  2 Bi 2.24-2.25, 2 Cd 2.25-2.27
13 O 0.3472 0.3419 0.7524  2 Bi 2.24-2.25, 2 Cd 2.25-2.27
14 O 0.3856 0.9341 0.8469  1 As 1.73
15 O 0.6144 0.0659 0.3469  1 As 1.73
16 O 0.6528 0.6581 0.2524  2 Bi 2.24-2.25, 2 Cd 2.25-2.27
17 O 0.6581 0.6528 0.7524  2 Bi 2.24-2.25, 2 Cd 2.25-2.27
18 O 0.7977 0.2023 0.7837  1 As 1.73
19 O 0.9341 0.3856 0.3469  1 As 1.73
20 O 0.9798 0.0202 0.4419  1 As 1.70

5.
Bi2AsCl2 | meta-GGA SCAN | PBEsol geometry

## Properties
total magnetization	0.0	μB/f.u.
space-group type	P4/mbm (127)
E	-387.59	eV for the cell shown
calculated volume	258.65	Å³ per cell
N(E_F)	6.671	states/eV/cell
density	7.24	g/cm3

Unit cell a=7.4281 b=7.4281 c=4.6876 alpha=90.00 beta=90.00 gamma=90.00
Last column: nearest neighbours and their distance in Å.
Fractional coordinates of all 10 atoms:
1 Bi 0.1538 0.3462 0.0000  2 As 2.81, 2 Cl 3.07
2 Bi 0.3462 0.8462 0.0000  2 As 2.81, 2 Cl 3.07
3 Bi 0.6538 0.1538 0.0000  2 As 2.81, 2 Cl 3.07
4 Bi 0.8462 0.6538 0.0000  2 As 2.81, 2 Cl 3.07
5 As 0.0000 0.0000 0.0000  4 Bi 2.81
6 As 0.5000 0.5000 0.0000  4 Bi 2.81
7 Cl 0.1577 0.6577 0.5000  6 Bi 3.07-3.29, 1 Cl 3.31
8 Cl 0.3423 0.1577 0.5000  6 Bi 3.07-3.29, 1 Cl 3.31
9 Cl 0.6577 0.8423 0.5000  6 Bi 3.07-3.29, 1 Cl 3.31
10 Cl 0.8423 0.3423 0.5000  6 Bi 3.07-3.29, 1 Cl 3.31

6.
CoBiAsSe2 | meta-GGA SCAN | PBEsol geometry

## Properties
total magnetization	3.9	μB/f.u.
space-group type	P4/mmm (123)
E	-149.88	eV for the cell shown
calculated volume	153.87	Å³ per cell
N(E_F)	4.849	states/eV/cell
density	5.40	g/cm3

Unit cell a=5.3833 b=5.3833 c=5.3096 alpha=90.00 beta=90.00 gamma=90.00
Last column: nearest neighbours and their distance in Å.
Fractional coordinates of all 5 atoms:
1 Co 0.0000 0.0000 0.0000  8 Se 3.78, 4 As 3.81
2 Bi 0.5000 0.5000 0.5000  2 As 2.65, 4 Se 2.69
3 As 0.5000 0.5000 0.0000  2 Bi 2.65
4 Se 0.0000 0.5000 0.5000  2 Bi 2.69
5 Se 0.5000 0.0000 0.5000  2 Bi 2.69

7.
SrCrBi2As | meta-GGA SCAN | PBEsol geometry

## Properties
total magnetization	5.1	μB/f.u.
space-group type	P4/mmm (123)
E	-216.35	eV for the cell shown
calculated volume	172.43	Å³ per cell
formation enthalpy at 0 K	0.332	eV per atom
N(E_F)	2.961	states/eV/cell
density	6.09	g/cm3

Unit cell a=5.5613 b=5.5613 c=5.5752 alpha=90.00 beta=90.00 gamma=90.00
Last column: nearest neighbours and their distance in Å.
Fractional coordinates of all 5 atoms:
1 Sr 0.0000 0.0000 0.0000  2 As 2.79
2 Cr 0.5000 0.5000 0.0000  4 Sr 3.93, 8 Bi 3.94
3 Bi 0.0000 0.5000 0.5000  2 As 2.78
4 Bi 0.5000 0.0000 0.5000  2 As 2.78
5 As 0.0000 0.0000 0.5000  4 Bi 2.78, 2 Sr 2.79

8.
Cs2Bi2As | meta-GGA SCAN | PBEsol geometry

## Properties
total magnetization	0.0	μB/f.u.
space-group type	P4/mbm (127)
E	-508.56	eV for the cell shown
calculated volume	376.76	Å³ per cell
formation enthalpy at 0 K	-0.262	eV per atom
N(E_F)	6.565	states/eV/cell
density	6.69	g/cm3

Unit cell a=7.7786 b=7.7786 c=6.2267 alpha=90.00 beta=90.00 gamma=90.00
Last column: nearest neighbours and their distance in Å.
Fractional coordinates of all 10 atoms:
1 Cs 0.1757 0.3243 0.0000  6 Bi 3.73-3.97, 5 Cs 3.87-4.06
2 Cs 0.3243 0.8243 0.0000  6 Bi 3.73-3.97, 5 Cs 3.87-4.06
3 Cs 0.6757 0.1757 0.0000  6 Bi 3.73-3.97, 5 Cs 3.87-4.06
4 Cs 0.8243 0.6757 0.0000  6 Bi 3.73-3.97, 5 Cs 3.87-4.06
5 Bi 0.1382 0.6382 0.5000  2 As 3.01, 1 Bi 3.04
6 Bi 0.3618 0.1382 0.5000  2 As 3.01, 1 Bi 3.04
7 Bi 0.6382 0.8618 0.5000  2 As 3.01, 1 Bi 3.04
8 Bi 0.8618 0.3618 0.5000  2 As 3.01, 1 Bi 3.04
9 As 0.0000 0.0000 0.5000  4 Bi 3.01
10 As 0.5000 0.5000 0.5000  4 Bi 3.01

9.
CuBi2As2 | meta-GGA SCAN | PBEsol geometry

## Properties
total magnetization	0.0	μB/f.u.
space-group type	P4/mbm (127)
E	-424.72	eV for the cell shown
calculated volume	234.60	Å³ per cell
formation enthalpy at 0 K	0.076	eV per atom
N(E_F)	4.336	states/eV/cell
density	8.94	g/cm3

Unit cell a=6.2930 b=6.2930 c=5.9239 alpha=90.00 beta=90.00 gamma=90.00
Last column: nearest neighbours and their distance in Å.
Fractional coordinates of all 10 atoms:
1 Cu 0.0000 0.0000 0.0000  4 As 2.42
2 Cu 0.5000 0.5000 0.0000  4 As 2.42
3 Bi 0.1902 0.3098 0.5000  2 As 2.99, 4 Bi 3.24
4 Bi 0.3098 0.8098 0.5000  2 As 2.99, 4 Bi 3.24
5 Bi 0.6902 0.1902 0.5000  2 As 2.99, 4 Bi 3.24
6 Bi 0.8098 0.6902 0.5000  2 As 2.99, 4 Bi 3.24
7 As 0.1417 0.3583 0.0000  2 Cu 2.42, 1 As 2.52
8 As 0.3583 0.8583 0.0000  2 Cu 2.42, 1 As 2.52
9 As 0.6417 0.1417 0.0000  2 Cu 2.42, 1 As 2.52
10 As 0.8583 0.6417 0.0000  2 Cu 2.42, 1 As 2.52

10.
Cu2BiAsH | meta-GGA SCAN | PBEsol geometry

## Properties
total magnetization	0.0	μB/f.u.
space-group type	P4/mmm (123)
E	-128.30	eV for the cell shown
calculated volume	91.32	Å³ per cell
N(E_F)	2.271	states/eV/cell
density	7.49	g/cm3

Unit cell a=4.9639 b=4.9639 c=3.7060 alpha=90.00 beta=90.00 gamma=90.00
Last column: nearest neighbours and their distance in Å.
Fractional coordinates of all 5 atoms:
1 Cu 0.0000 0.5000 0.0000  2 Bi 2.48
2 Cu 0.5000 0.0000 0.0000  2 Bi 2.48
3 Bi 0.0000 0.0000 0.0000  2 H 1.85
4 As 0.5000 0.5000 0.5000  8 Cu 3.10
5 H 0.0000 0.0000 0.5000  2 Bi 1.85

11.
Zr2CuBiAs | meta-GGA SCAN | PBEsol geometry

## Properties
total magnetization	0.0	μB/f.u.
space-group type	P4/mmm (123)
E	-176.12	eV for the cell shown
calculated volume	111.72	Å³ per cell
formation enthalpy at 0 K	-0.151	eV per atom
N(E_F)	3.214	states/eV/cell
density	7.88	g/cm3

Unit cell a=5.0868 b=5.0868 c=4.3177 alpha=90.00 beta=90.00 gamma=90.00
Last column: nearest neighbours and their distance in Å.
Fractional coordinates of all 5 atoms:
1 Zr 0.0000 0.5000 0.0000  2 As 2.54
2 Zr 0.5000 0.0000 0.0000  2 As 2.54
3 Cu 0.0000 0.0000 0.5000  2 As 2.16
4 Bi 0.5000 0.5000 0.5000  8 Zr 3.34, 4 Cu 3.60
5 As 0.0000 0.0000 0.0000  2 Cu 2.16

12.
Bi3AsF | meta-GGA SCAN | PBEsol geometry

## Properties
total magnetization	0.0	μB/f.u.
space-group type	Pm-3m (221)
E	-259.02	eV for the cell shown
calculated volume	124.78	Å³ per cell
N(E_F)	3.120	states/eV/cell
density	9.59	g/cm3

Unit cell a=4.9970 b=4.9970 c=4.9970 alpha=90.00 beta=90.00 gamma=90.00
Last column: nearest neighbours and their distance in Å.
Fractional coordinates of all 5 atoms:
1 Bi 0.0000 0.0000 0.5000  2 F 2.50
2 Bi 0.0000 0.5000 0.0000  2 F 2.50
3 Bi 0.5000 0.0000 0.0000  2 F 2.50
4 As 0.5000 0.5000 0.5000  12 Bi 3.53
5 F 0.0000 0.0000 0.0000  6 Bi 2.50